CdBi2O (GGA-PBE, optimized geometry); excess energy over the best structure of this formula in the dataset = 1.43 eV/f.u.; total moment = 0.0 Bohr magnetons per cell; symmetry = Fm-3m, No. 225; raw formation energy = 0.162 eV per atom; calculated density = 10.22 Mg/m³
1.0
7.081 0.000 0.000
0.000 7.081 0.000
0.000 0.000 7.081
Cd Bi O
4 8 4
direct
0.000 0.000 0.000
0.000 0.500 0.500
0.500 0.000 0.500
0.500 0.500 0.000
0.250 0.250 0.250
0.250 0.250 0.750
0.250 0.750 0.250
0.250 0.750 0.750
0.750 0.250 0.250
0.750 0.250 0.750
0.750 0.750 0.250
0.750 0.750 0.750
0.000 0.000 0.500
0.000 0.500 0.000
0.500 0.000 0.000
0.500 0.500 0.500